A) This record from the Alexandria database describes PuScCl6 after structural relaxation. The functional is PBE.

Cell lengths 6.570, 12.353, 6.509 Å; angles 90.00, 106.18, 90.00 degrees
Space group C2/m (No. 12)
Inequivalent atoms, fractional coordinates:
1 Pu 0.000 0.000 0.000 x2
2 Sc 0.000 0.500 0.500 x2
3 Cl 0.229 0.360 0.735 x8
4 Cl 0.243 0.500 0.263 x4

***

B) This record from the Alexandria database describes PuScCl6 after structural relaxation. The functional is PBE.

Cell lengths 6.5924, 6.5924, 18.3024 Å; angles 90.00, 90.00, 120.00 degrees
Space group R-3 (No. 148, hexagonal axes)
Inequivalent atoms, fractional coordinates:
1 Pu 0.0000 0.0000 0.0000 x3
2 Sc 0.0000 0.0000 0.5000 x3
3 Cl 0.0135 0.3185 0.5788 x18

***

The most stable of them is A).

***

A) This record from the Alexandria database describes PuScCl4 after structural relaxation. The functional is PBE.

Cell lengths 7.758, 15.816, 6.676 Å; angles 90.00, 125.07, 90.00 degrees
Space group C2/c (No. 15)
Inequivalent atoms, fractional coordinates:
1 Pu 0.000 0.065 0.250 x4
2 Sc 0.000 0.440 0.750 x4
3 Cl 0.225 0.437 0.231 x8
4 Cl 0.231 0.328 0.758 x8

***

B) This record from the Alexandria database describes PuScCl4 after structural relaxation. The functional is PBE.

Cell lengths 14.835, 3.756, 6.719 Å; angles 90.00, 113.30, 90.00 degrees
Space group C2/m (No. 12)
Inequivalent atoms, fractional coordinates:
1 Pu 0.000 0.000 0.000 x2
2 Sc 0.000 0.500 0.500 x2
3 Cl 0.112 0.000 0.745 x4
4 Cl 0.119 0.500 0.304 x4

***

The most stable of them is B).